Below is a relaxed Dy2BeGe3Ir4 crystal, with properties calculated at the PBE level.

```
10
Lattice="4.152 0.000 0.000 0.000 4.152 0.000 0.000 0.000 10.103" Properties=species:S:1:pos:R:3 pbc="T T T"
Dy 0.000 2.076 2.472
Dy 2.076 0.000 7.631
Be 2.076 2.076 0.000
Ge 0.000 0.000 0.000
Ge 0.000 2.076 6.425
Ge 2.076 0.000 3.677
Ir 0.000 0.000 5.051
Ir 0.000 2.076 8.849
Ir 2.076 0.000 1.253
Ir 2.076 2.076 5.051
```

Results
Its energy of formation from the pure elements is -729 meV per atom. The space group is P-4m2. For the total energy, the calculation gives -69.52 eV per formula unit.